[1]
Material: AlFe4Cu3O12
Method: DFT, PBE with a Hubbard U
State: optimized geometry Values from VASP.

Summary:
DFT total energy: -118.35 eV per cell
D(E_F): 3.2 states/eV/cell
Space-group type: No. 204

```
&SYSTEM
  ibrav = 0, nat = 20, ntyp = 4
/
ATOMIC_SPECIES
Al 26.98 Al.upf
Fe 55.84 Fe.upf
Cu 63.55 Cu.upf
O 16.00 O.upf
ATOMIC_POSITIONS crystal
Al 0.000 0.000 0.000
Fe 0.000 0.000 0.500
Fe 0.000 0.500 0.000
Fe 0.500 0.000 0.000
Fe 0.500 0.500 0.500
Cu 0.000 0.500 0.500
Cu 0.500 0.000 0.500
Cu 0.500 0.500 0.000
O 0.142 0.837 0.305
O 0.163 0.305 0.469
O 0.163 0.695 0.858
O 0.305 0.142 0.837
O 0.305 0.469 0.163
O 0.469 0.163 0.305
O 0.531 0.837 0.695
O 0.695 0.531 0.837
O 0.695 0.858 0.163
O 0.837 0.305 0.142
O 0.837 0.695 0.531
O 0.858 0.163 0.695
CELL_PARAMETERS angstrom
-3.700 3.700 3.700
3.700 -3.700 3.700
3.700 3.700 -3.700
```

---

[2]
Material: Sr2AlFeCu2O7
Method: DFT, PBE with a Hubbard U
State: optimized geometry Values from VASP.

Summary:
DFT total energy: -159.84 eV per cell
D(E_F): 3.2 states/eV/cell
Space-group type: No. 5

```
&SYSTEM
  ibrav = 0, nat = 26, ntyp = 5
/
ATOMIC_SPECIES
Sr 87.62 Sr.upf
Al 26.98 Al.upf
Fe 55.84 Fe.upf
Cu 63.55 Cu.upf
O 16.00 O.upf
ATOMIC_POSITIONS crystal
Sr 0.149 0.149 0.134
Sr 0.351 0.351 0.336
Sr 0.649 0.649 0.664
Sr 0.851 0.851 0.866
Al 0.491 0.509 0.500
Al 0.991 0.009 0.000
Fe 0.292 0.208 0.683
Fe 0.792 0.708 0.317
Cu 0.049 0.068 0.557
Cu 0.432 0.451 0.941
Cu 0.549 0.568 0.059
Cu 0.932 0.951 0.443
O 0.111 0.780 0.770
O 0.152 0.194 0.704
O 0.159 0.341 0.348
O 0.220 0.889 0.230
O 0.259 0.634 0.269
O 0.306 0.348 0.858
O 0.366 0.741 0.731
O 0.611 0.279 0.622
O 0.652 0.694 0.142
O 0.659 0.841 0.652
O 0.721 0.389 0.378
O 0.759 0.134 0.124
O 0.806 0.848 0.296
O 0.866 0.241 0.876
CELL_PARAMETERS angstrom
11.921 -2.654 0.000
11.921 2.654 0.000
-1.223 0.000 5.260
```